[1]
A plane-wave DFT calculation with PBE was carried out for a relaxed Dy5YTl2 crystal.

Structure (POSCAR):
```
Dy5YTl2
1.0
-2.505 -0.949 -2.420
-3.797 -6.487 3.783
-6.969 3.515 3.144
Dy Y Tl
5 1 2
Direct
0.634 0.139 0.593
0.000 0.500 0.500
0.366 0.407 0.861
0.366 0.861 0.407
0.634 0.593 0.139
0.000 0.000 0.000
0.263 0.237 0.237
0.737 0.763 0.763
```

Values from the calculation:
SG = Immm (71)
DOS at the Fermi energy = 10.74 states/eV per cell
magnetization = 0.0 μB/f.u.
energy of formation = -115 meV/atom
V = 29.974 Å³ per atom
DFT total energy = -35.1 eV per cell


[2]
A plane-wave DFT calculation with PBE was carried out for a relaxed LiTb2Te4Pb crystal.

Structure (POSCAR):
```
LiTb2Te4Pb
1.0
4.394 0.000 0.000
0.000 7.867 -0.265
0.000 2.658 7.106
Te Pb Tb Li
4 1 2 1
Direct
0.000 0.245 0.262
0.500 0.754 0.255
0.000 0.755 0.738
0.500 0.246 0.745
0.500 0.500 0.000
0.500 0.000 0.500
0.000 0.000 0.000
0.000 0.500 0.500
```

Values from the calculation:
SG = P2/m (10)
DOS at the Fermi energy = 3.19 states/eV per cell
magnetization = 0.0 μB/f.u.
V = 31.089 Å³ per atom
DFT total energy = -35.7 eV per cell


[3]
A plane-wave DFT calculation with PBE was carried out for a relaxed Pm2Ga5Ni crystal.

Structure (POSCAR):
```
Pm2Ga5Ni
1.0
4.524 0.000 0.000
0.000 6.091 0.000
0.000 0.000 6.091
Ni Pm Ga
1 2 5
Direct
0.000 0.000 0.000
0.500 0.500 0.000
0.500 0.000 0.500
0.000 0.286 0.714
0.000 0.286 0.286
0.000 0.714 0.714
0.000 0.714 0.286
0.500 0.000 0.000
```

Values from the calculation:
SG = P4/mmm (123)
DOS at the Fermi energy = 4.70 states/eV per cell
magnetization = 0.0 μB/f.u.
energy of formation = -451 meV/atom
V = 20.978 Å³ per atom
DFT total energy = -34.0 eV per cell


[4]
A plane-wave DFT calculation with PBE was carried out for a relaxed LaPr2Sb crystal.

Structure (POSCAR):
```
LaPr2Sb
1.0
4.187 0.000 0.000
2.093 3.626 0.000
2.093 1.209 9.835
Pr La Sb
2 1 1
Direct
0.266 0.266 0.201
0.067 0.067 0.799
0.500 0.500 0.500
0.667 0.667 0.000
```

Values from the calculation:
SG = R3m (160)
DOS at the Fermi energy = 3.66 states/eV per cell
magnetization = 0.2 μB/f.u.
offset from the most stable computed form = 203.3 meV/atom
V = 37.325 Å³ per atom
DFT total energy = -20.2 eV per cell


[5]
A plane-wave DFT calculation with PBE was carried out for a relaxed BaCo4Tc crystal.

Structure (POSCAR):
```
BaCo4Tc
1.0
1.734 -1.445 4.578
-1.279 2.655 4.168
-3.205 -2.013 3.424
Co Tc Ba
4 1 1
Direct
0.378 0.867 0.378
0.378 0.378 0.867
0.867 0.378 0.378
0.378 0.378 0.378
0.750 0.750 0.750
0.000 0.000 0.000
```

Values from the calculation:
SG = F-43m (216)
DOS at the Fermi energy = 10.96 states/eV per cell
magnetization = 8.8 μB/f.u.
energy of formation = 732 meV/atom
V = 15.671 Å³ per atom
DFT total energy = -36.3 eV per cell


[6]
A plane-wave DFT calculation with PBE was carried out for a relaxed Tb6Pr3Sm2Pu crystal.

Structure (POSCAR):
```
Tb6Pr3Sm2Pu
1.0
-0.712 3.332 5.238
-4.275 0.359 -4.543
-4.198 -10.071 4.590
Pr Tb Sm Pu
3 6 2 1
Direct
0.500 0.500 0.500
0.833 0.167 0.500
0.167 0.833 0.500
0.410 0.081 0.245
0.081 0.410 0.245
0.590 0.919 0.755
0.919 0.590 0.755
0.753 0.753 0.245
0.247 0.247 0.755
0.333 0.667 0.000
0.667 0.333 0.000
0.000 0.000 0.000
```

Values from the calculation:
SG = C2/m (12)
DOS at the Fermi energy = 23.31 states/eV per cell
magnetization = 6.5 μB/f.u.
energy of formation = 45 meV/atom
V = 32.812 Å³ per atom
DFT total energy = -65.3 eV per cell


[7]
A plane-wave DFT calculation with PBE was carried out for a relaxed LiCu crystal.

Structure (POSCAR):
```
LiCu
1.0
4.879 0.000 0.000
0.000 4.879 0.000
0.000 0.000 4.894
Cu Li
4 4
Direct
0.678 0.322 0.500
0.178 0.178 0.000
0.322 0.678 0.500
0.822 0.822 0.000
0.190 0.190 0.500
0.810 0.810 0.500
0.690 0.310 0.000
0.310 0.690 0.000
```

Values from the calculation:
SG = P4_2/mnm (136)
DOS at the Fermi energy = 1.69 states/eV per cell
magnetization = 0.0 μB/f.u.
energy of formation = 246 meV/atom
V = 14.563 Å³ per atom
DFT total energy = -22.1 eV per cell


[8]
A plane-wave DFT calculation with PBE was carried out for a relaxed NbCoBiRh2 crystal.

Structure (POSCAR):
```
NbCoBiRh2
1.0
4.516 0.000 0.000
0.000 4.760 0.000
0.000 0.000 4.516
Co Bi Rh Nb
1 1 2 1
Direct
0.000 0.000 0.000
0.000 0.500 0.000
0.000 0.000 0.500
0.500 0.000 0.000
0.500 0.500 0.500
```

Values from the calculation:
SG = P4/mmm (123)
DOS at the Fermi energy = 7.45 states/eV per cell
magnetization = 3.3 μB/f.u.
energy of formation = 964 meV/atom
V = 19.420 Å³ per atom
DFT total energy = -30.9 eV per cell